Record 1
! ScBe3H PBE optimized geometry; values from VASP
! - energy above the lowest structure with this stoichiometry (meV per atom) = 0
! - uncorrected energy (eV per atom) = -3.850
&SYSTEM
  ibrav = 0, nat = 5, ntyp = 3
/
ATOMIC_SPECIES
Sc 44.96 Sc.upf
Be 9.01 Be.upf
H 1.01 H.upf
ATOMIC_POSITIONS crystal
Sc 0.0000 0.0000 0.0000
Be 0.0000 0.5000 0.5000
Be 0.5000 0.0000 0.5000
Be 0.5000 0.5000 0.0000
H 0.5000 0.5000 0.5000
CELL_PARAMETERS angstrom
3.7130 0.0000 0.0000
0.0000 3.7130 0.0000
0.0000 0.0000 3.7130

---

Record 2
! ScBeH PBE optimized geometry; values from VASP
! - uncorrected energy (eV per atom) = -4.562
&SYSTEM
  ibrav = 0, nat = 6, ntyp = 3
/
ATOMIC_SPECIES
Sc 44.96 Sc.upf
Be 9.01 Be.upf
H 1.01 H.upf
ATOMIC_POSITIONS crystal
Sc 0.2500 0.2500 0.1638
Sc 0.7500 0.7500 0.8362
Be 0.2500 0.7500 0.5000
Be 0.7500 0.2500 0.5000
H 0.2500 0.2500 0.8892
H 0.7500 0.7500 0.1108
CELL_PARAMETERS angstrom
3.0146 0.0000 0.0000
0.0000 3.0146 0.0000
0.0000 0.0000 7.4279

---

Record 3
! ScBeH3 PBE optimized geometry; values from VASP
! - energy above the lowest structure with this stoichiometry (meV per atom) = 0
! - uncorrected energy (eV per atom) = -4.045
&SYSTEM
  ibrav = 0, nat = 5, ntyp = 3
/
ATOMIC_SPECIES
Sc 44.96 Sc.upf
Be 9.01 Be.upf
H 1.01 H.upf
ATOMIC_POSITIONS crystal
Sc 0.0000 0.0000 0.0000
Be 0.5000 0.5000 0.5000
H 0.0000 0.5000 0.5000
H 0.5000 0.0000 0.5000
H 0.5000 0.5000 0.0000
CELL_PARAMETERS angstrom
3.3048 0.0000 0.0000
0.0000 3.3048 0.0000
0.0000 0.0000 3.3048

---

Record 4
! Sc2BeH2 PBE optimized geometry; values from VASP
! - uncorrected energy (eV per atom) = -5.028
&SYSTEM
  ibrav = 0, nat = 10, ntyp = 3
/
ATOMIC_SPECIES
Sc 44.96 Sc.upf
Be 9.01 Be.upf
H 1.01 H.upf
ATOMIC_POSITIONS crystal
Sc 0.0000 0.0000 0.1438
Sc 0.0000 0.0000 0.8562
Sc 0.5000 0.5000 0.3562
Sc 0.5000 0.5000 0.6438
Be 0.0000 0.0000 0.5000
Be 0.5000 0.5000 0.0000
H 0.0000 0.5000 0.2500
H 0.0000 0.5000 0.7500
H 0.5000 0.0000 0.2500
H 0.5000 0.0000 0.7500
CELL_PARAMETERS angstrom
3.3017 0.0000 0.0000
0.0000 3.3017 0.0000
0.0000 0.0000 10.9366

---

Record 5
! SrSc2BeH PBE optimized geometry; values from VASP
! - uncorrected energy (eV per atom) = -3.925
&SYSTEM
  ibrav = 0, nat = 5, ntyp = 4
/
ATOMIC_SPECIES
Sr 87.62 Sr.upf
Sc 44.96 Sc.upf
Be 9.01 Be.upf
H 1.01 H.upf
ATOMIC_POSITIONS crystal
Sr 0.0000 0.0000 0.0000
Sc 0.0000 0.5000 0.5000
Sc 0.5000 0.0000 0.5000
Be 0.5000 0.5000 0.0000
H 0.5000 0.5000 0.5000
CELL_PARAMETERS angstrom
4.6048 0.0000 0.0000
0.0000 4.6048 0.0000
0.0000 0.0000 4.5803

---

Record 6
! Sc2BeTlH PBE optimized geometry; values from VASP
! - uncorrected energy (eV per atom) = -4.534
&SYSTEM
  ibrav = 0, nat = 5, ntyp = 4
/
ATOMIC_SPECIES
Sc 44.96 Sc.upf
Be 9.01 Be.upf
Tl 204.38 Tl.upf
H 1.01 H.upf
ATOMIC_POSITIONS crystal
Sc 0.0000 0.5000 0.0000
Sc 0.5000 0.0000 0.0000
Be 0.0000 0.0000 0.5000
Tl 0.5000 0.5000 0.5000
H 0.0000 0.0000 0.0000
CELL_PARAMETERS angstrom
4.5976 0.0000 0.0000
0.0000 4.5976 0.0000
0.0000 0.0000 3.7512